(1)
Material: Tc2IrW
Method: DFT, GGA-PBE
State: optimized geometry

```
data_Tc2IrW
_chemical_formula_sum 'Tc2 Ir1 W1'
_cell_length_a 4.798
_cell_length_b 4.798
_cell_length_c 2.752
_cell_angle_alpha 90.00
_cell_angle_beta 90.00
_cell_angle_gamma 109.48
_symmetry_space_group_name_H-M 'P 1'
_symmetry_Int_Tables_number 1
_symmetry_space_group_name_Hall 'P 1'
loop_
_atom_site_label
_atom_site_type_symbol
_atom_site_fract_x
_atom_site_fract_y
_atom_site_fract_z
_atom_site_occupancy
Tc1 Tc 0.000 0.000 0.000 1
W1 W 0.500 0.000 0.500 1
Tc2 Tc 0.500 0.500 0.000 1
Ir1 Ir 0.000 0.500 0.500 1
```

Properties
* energy relative to the lowest polymorph listed for this composition: 0.084 eV per atom
* crystal system: orthorhombic
* ΔH_f (0 K): -0.0379 eV/atom

(2)
Material: Mg2NbOs
Method: DFT, GGA-PBE
State: optimized geometry

```
data_Mg2NbOs
_chemical_formula_sum 'Mg4 Nb2 Os2'
_cell_length_a 3.831
_cell_length_b 3.831
_cell_length_c 10.384
_cell_angle_alpha 79.37
_cell_angle_beta 79.37
_cell_angle_gamma 90.00
_symmetry_space_group_name_H-M 'P 1'
_symmetry_Int_Tables_number 1
_symmetry_space_group_name_Hall 'P 1'
loop_
_atom_site_label
_atom_site_type_symbol
_atom_site_fract_x
_atom_site_fract_y
_atom_site_fract_z
_atom_site_occupancy
Os1 Os 0.750 0.250 0.500 1
Nb1 Nb 0.500 0.500 0.000 1
Mg1 Mg 0.875 0.885 0.750 1
Mg2 Mg 0.115 0.625 0.250 1
Mg3 Mg 0.635 0.125 0.250 1
Mg4 Mg 0.375 0.365 0.750 1
Nb2 Nb 0.250 0.750 0.500 1
Os2 Os 0.000 0.000 0.000 1
```

Properties
* energy relative to the lowest polymorph listed for this composition: 0.000 eV per atom
* crystal system: tetragonal
* ΔH_f (0 K): 0.4437 eV/atom